Record 1
SrTa4: single point on PBEsol structure, meta-GGA SCAN.

```
SrTa4
1.0
-3.046 3.046 3.046
3.046 -3.046 3.046
3.046 3.046 -3.046
Sr Ta
1 4
Cartesian
0.000 0.000 0.000 Sr
1.523 1.523 -1.523 Ta
1.523 -1.523 1.523 Ta
-1.523 1.523 1.523 Ta
1.523 1.523 1.523 Ta
```

Output
As for the space-group type: No. 229.

Record 2
SrTa2: single point on PBEsol structure, meta-GGA SCAN.

```
SrTa2
1.0
5.992 -1.494 0.000
5.992 1.494 0.000
-0.247 0.000 8.226
Sr Ta
2 4
Cartesian
0.000 0.000 0.000 Sr
2.809 0.000 5.817 Sr
4.177 0.000 2.729 Ta
7.475 0.000 2.924 Ta
8.936 0.000 0.749 Ta
11.736 0.000 4.486 Ta
```

Output
As for the space-group type: No. 8.

Going through the records in order, we get energy values of -274.79; -306.24 eV per cell.